[1]
Material: CaYMg2Pd
Method: DFT, PBE
State: optimized geometry

Cell and atoms, written as extended XYZ:
```
5
Lattice="5.209 0.000 0.000 0.000 5.209 0.000 0.000 0.000 5.270" Properties=species:S:1:pos:R:3 pbc="T T T"
Ca 0.000 0.000 0.000
Y 2.604 2.604 0.000
Mg 0.000 2.604 2.635
Mg 2.604 0.000 2.635
Pd 2.604 2.604 2.635
```

## Properties
DOS(E_F), states/eV/f.u.: 2.67
Space group: P4/mmm
ΔE_f, eV/atom: -0.259


[2]
Material: CaY2MgPd
Method: DFT, PBE
State: optimized geometry

Cell and atoms, written as extended XYZ:
```
5
Lattice="5.457 0.000 0.000 0.000 5.457 0.000 0.000 0.000 5.226" Properties=species:S:1:pos:R:3 pbc="T T T"
Ca 0.000 0.000 0.000
Y 0.000 2.729 2.613
Y 2.729 0.000 2.613
Mg 2.729 2.729 0.000
Pd 2.729 2.729 2.613
```

## Properties
DOS(E_F), states/eV/f.u.: 4.13
Space group: P4/mmm
ΔE_f, eV/atom: -0.226


[3]
Material: CaMgZn2Pd
Method: DFT, PBE
State: optimized geometry

Cell and atoms, written as extended XYZ:
```
5
Lattice="4.896 0.000 0.000 0.000 4.896 0.000 0.000 0.000 4.884" Properties=species:S:1:pos:R:3 pbc="T T T"
Ca 0.000 0.000 0.000
Mg 2.448 2.448 0.000
Zn 0.000 2.448 2.442
Zn 2.448 0.000 2.442
Pd 2.448 2.448 2.442
```

## Properties
DOS(E_F), states/eV/f.u.: 2.75
Space group: P4/mmm
ΔE_f, eV/atom: -0.225


[4]
Material: Ca2MgZn12Pd3
Method: DFT, PBE
State: optimized geometry

Cell and atoms, written as extended XYZ:
```
18
Lattice="4.569 2.638 4.282 -4.569 2.638 4.282 0.000 -5.275 4.282" Properties=species:S:1:pos:R:3 pbc="T T T"
Ca 0.000 0.000 3.137
Ca 0.000 0.000 9.708
Mg 0.000 0.000 6.423
Zn 0.000 -3.061 3.424
Zn -2.651 1.531 3.424
Zn -2.213 -1.278 6.942
Zn 0.000 -2.555 5.903
Zn -2.213 1.278 5.903
Zn -2.651 -1.531 9.421
Zn 2.651 1.531 3.424
Zn 2.213 -1.278 6.942
Zn 0.000 2.555 6.942
Zn 2.213 1.278 5.903
Zn 2.651 -1.531 9.421
Zn 0.000 3.061 9.421
Pd -2.284 -1.319 4.282
Pd -2.284 1.319 8.563
Pd 0.000 2.638 4.282
```

## Properties
DOS(E_F), states/eV/f.u.: 8.14
Space group: R-3m
ΔE_f, eV/atom: -0.182


[5]
Material: CaPm2Mg4
Method: DFT, PBE
State: optimized geometry

Cell and atoms, written as extended XYZ:
```
7
Lattice="2.724 1.573 7.843 -2.724 1.573 7.843 0.000 -3.145 7.843" Properties=species:S:1:pos:R:3 pbc="T T T"
Ca 0.000 0.000 0.000
Pm 0.000 0.000 6.621
Pm 0.000 0.000 16.908
Mg 0.000 0.000 3.240
Mg 0.000 0.000 10.118
Mg 0.000 0.000 13.411
Mg 0.000 0.000 20.290
```

## Properties
DOS(E_F), states/eV/f.u.: 6.37
Space group: R-3m
ΔE_f, eV/atom: 0.067


[6]
Material: Ca2Pm3Mg2
Method: DFT, PBE
State: optimized geometry

Cell and atoms, written as extended XYZ:
```
7
Lattice="1.867 -17.054 0.000 1.867 17.054 0.000 0.000 0.000 3.676" Properties=species:S:1:pos:R:3 pbc="T T T"
Ca 1.867 10.211 0.000
Ca 1.867 -10.211 0.000
Pm 1.867 14.548 0.000
Pm 1.867 0.000 1.838
Pm 1.867 -14.548 0.000
Mg 1.867 4.646 1.838
Mg 1.867 -4.646 1.838
```

## Properties
DOS(E_F), states/eV/f.u.: 7.86
Space group: Cmmm
ΔE_f, eV/atom: -0.002


[7]
Material: CaPm2Mg6
Method: DFT, PBE
State: optimized geometry

Cell and atoms, written as extended XYZ:
```
9
Lattice="9.176 0.000 0.000 -4.588 7.947 0.000 0.000 0.000 3.409" Properties=species:S:1:pos:R:3 pbc="T T T"
Ca 0.000 0.000 0.000
Pm 0.000 5.298 0.000
Pm 4.588 2.649 0.000
Mg -1.536 2.661 1.704
Mg -3.052 5.286 1.704
Mg 3.073 0.000 1.704
Mg 1.536 2.661 1.704
Mg 6.103 0.000 1.704
Mg 3.052 5.286 1.704
```

## Properties
DOS(E_F), states/eV/f.u.: 7.70
Space group: P6/mmm
ΔE_f, eV/atom: -0.076


[8]
Material: Ca2PmMg
Method: DFT, PBE
State: optimized geometry

Cell and atoms, written as extended XYZ:
```
4
Lattice="1.788 1.032 12.699 -1.788 1.032 12.699 0.000 -2.065 12.699" Properties=species:S:1:pos:R:3 pbc="T T T"
Ca 0.000 0.000 3.532
Ca 0.000 0.000 34.564
Pm 0.000 0.000 0.000
Mg 0.000 0.000 19.048
```

## Properties
DOS(E_F), states/eV/f.u.: 5.12
Space group: R-3m
ΔE_f, eV/atom: 0.191


[9]
Material: CaPmMg2
Method: DFT, PBE
State: optimized geometry

Cell and atoms, written as extended XYZ:
```
4
Lattice="1.792 1.034 11.172 -1.792 1.034 11.172 0.000 -2.069 11.172" Properties=species:S:1:pos:R:3 pbc="T T T"
Ca 0.000 0.000 0.000
Pm 0.000 0.000 5.623
Mg 0.000 0.000 19.551
Mg 0.000 0.000 25.163
```

## Properties
DOS(E_F), states/eV/f.u.: 4.29
Space group: R3m
ΔE_f, eV/atom: 0.061


[10]
Material: Ca2PmMg2
Method: DFT, PBE
State: optimized geometry

Cell and atoms, written as extended XYZ:
```
5
Lattice="1.940 -11.499 0.000 1.940 11.499 0.000 0.000 0.000 3.725" Properties=species:S:1:pos:R:3 pbc="T T T"
Ca 1.940 7.400 0.000
Ca 1.940 -7.400 0.000
Pm 0.000 0.000 0.000
Mg 1.940 1.996 1.862
Mg 1.940 -1.996 1.862
```

## Properties
DOS(E_F), states/eV/f.u.: 5.97
Space group: Cmmm
ΔE_f, eV/atom: -0.012


[11]
Material: Ca5PmMg4
Method: DFT, PBE
State: optimized geometry

Cell and atoms, written as extended XYZ:
```
10
Lattice="3.866 0.000 0.000 0.000 3.866 0.000 0.000 0.000 21.737" Properties=species:S:1:pos:R:3 pbc="T T T"
Ca 0.000 0.000 0.000
Ca 0.000 0.000 4.136
Ca 0.000 0.000 8.267
Ca 0.000 0.000 13.470
Ca 0.000 0.000 17.601
Pm 1.933 1.933 10.868
Mg 1.933 1.933 2.058
Mg 1.933 1.933 6.210
Mg 1.933 1.933 15.527
Mg 1.933 1.933 19.679
```

## Properties
DOS(E_F), states/eV/f.u.: 13.91
Space group: P4/mmm
ΔE_f, eV/atom: -0.024


[12]
Material: CaPmMg2
Method: DFT, PBE
State: optimized geometry

Cell and atoms, written as extended XYZ:
```
4
Lattice="0.000 3.913 3.913 3.913 0.000 3.913 3.913 3.913 0.000" Properties=species:S:1:pos:R:3 pbc="T T T"
Ca 0.000 0.000 0.000
Pm 3.913 3.913 3.913
Mg 1.956 1.956 1.956
Mg 5.869 5.869 5.869
```

## Properties
DOS(E_F), states/eV/f.u.: 5.33
Space group: Fm-3m
ΔE_f, eV/atom: -0.094


[13]
Material: CaPm2Mg4
Method: DFT, PBE
State: optimized geometry

Cell and atoms, written as extended XYZ:
```
7
Lattice="-2.811 2.811 8.188 2.811 -2.811 8.188 2.811 2.811 -8.188" Properties=species:S:1:pos:R:3 pbc="T T T"
Ca 0.000 0.000 0.000
Pm 0.000 0.000 6.455
Pm 0.000 0.000 9.921
Mg 2.811 0.000 0.000
Mg 0.000 0.000 3.119
Mg 0.000 2.811 0.000
Mg 0.000 0.000 13.257
```

## Properties
DOS(E_F), states/eV/f.u.: 6.45
Space group: I4/mmm
ΔE_f, eV/atom: 0.510


[14]
Material: Ca2PmMg
Method: DFT, PBE
State: optimized geometry

Cell and atoms, written as extended XYZ:
```
4
Lattice="5.024 0.000 0.000 0.000 5.024 0.000 0.000 0.000 5.453" Properties=species:S:1:pos:R:3 pbc="T T T"
Ca 0.000 2.512 0.000
Ca 2.512 0.000 0.000
Pm 0.000 0.000 2.726
Mg 2.512 2.512 2.726
```

## Properties
DOS(E_F), states/eV/f.u.: 5.63
Space group: P4/mmm
ΔE_f, eV/atom: 0.055


[15]
Material: Ca2PmMg
Method: DFT, PBE
State: optimized geometry

Cell and atoms, written as extended XYZ:
```
4
Lattice="0.000 4.084 4.084 4.084 0.000 4.084 4.084 4.084 0.000" Properties=species:S:1:pos:R:3 pbc="T T T"
Ca 2.042 2.042 2.042
Ca 6.126 6.126 6.126
Pm 0.000 0.000 0.000
Mg 4.084 4.084 4.084
```

## Properties
DOS(E_F), states/eV/f.u.: 5.78
Space group: Fm-3m
ΔE_f, eV/atom: 0.114


[16]
Material: Ca2Pm2Mg3
Method: DFT, PBE
State: optimized geometry

Cell and atoms, written as extended XYZ:
```
7
Lattice="1.955 -15.285 0.000 1.955 15.285 0.000 0.000 0.000 3.753" Properties=species:S:1:pos:R:3 pbc="T T T"
Ca 1.955 9.289 0.000
Ca 1.955 -9.289 0.000
Pm 1.955 13.364 0.000
Pm 1.955 -13.364 0.000
Mg 1.955 3.896 1.877
Mg 1.955 0.000 1.877
Mg 1.955 -3.896 1.877
```

## Properties
DOS(E_F), states/eV/f.u.: 7.15
Space group: Cmmm
ΔE_f, eV/atom: -0.042


[17]
Material: CaPm3Mg6
Method: DFT, PBE
State: optimized geometry

Cell and atoms, written as extended XYZ:
```
20
Lattice="9.409 0.000 0.000 0.000 5.401 0.000 -3.207 0.000 11.070" Properties=species:S:1:pos:R:3 pbc="T T T"
Ca -0.781 1.350 4.373
Ca 6.983 4.051 6.697
Pm -0.850 1.350 11.008
Pm 0.776 4.051 8.815
Pm 2.410 1.350 6.718
Pm 3.792 4.051 4.352
Pm 5.426 1.350 2.256
Pm 7.052 4.051 0.062
Mg -2.452 4.051 10.008
Mg 0.743 4.051 2.135
Mg -0.869 1.350 7.735
Mg 0.740 4.051 5.444
Mg 2.230 1.350 3.229
Mg 3.792 4.051 1.088
Mg 2.411 1.350 9.983
Mg 3.973 4.051 7.842
Mg 5.462 1.350 5.627
Mg 7.071 4.051 3.336
Mg 5.459 1.350 8.935
Mg 8.654 1.350 1.062
```

## Properties
DOS(E_F), states/eV/f.u.: 9.29
Space group: P2_1/m
ΔE_f, eV/atom: -0.070


[18]
Material: CaPmMg2
Method: DFT, PBE
State: optimized geometry

Cell and atoms, written as extended XYZ:
```
4
Lattice="5.548 0.000 0.000 0.000 5.548 0.000 0.000 0.000 3.891" Properties=species:S:1:pos:R:3 pbc="T T T"
Ca 0.000 0.000 0.000
Pm 2.774 2.774 0.000
Mg 0.000 2.774 1.945
Mg 2.774 0.000 1.945
```

## Properties
DOS(E_F), states/eV/f.u.: 3.17
Space group: P4/mmm
ΔE_f, eV/atom: -0.094


[19]
Material: Ca2PmMg
Method: DFT, PBE
State: optimized geometry

Cell and atoms, written as extended XYZ:
```
4
Lattice="1.858 1.073 11.678 -1.858 1.073 11.678 0.000 -2.145 11.678" Properties=species:S:1:pos:R:3 pbc="T T T"
Ca 0.000 0.000 0.000
Ca 0.000 0.000 6.190
Pm 0.000 0.000 14.785
Mg 0.000 0.000 20.604
```

## Properties
DOS(E_F), states/eV/f.u.: 5.43
Space group: R3m
ΔE_f, eV/atom: 0.072


[20]
Material: Ca6PmMg2
Method: DFT, PBE
State: optimized geometry

Cell and atoms, written as extended XYZ:
```
9
Lattice="5.181 0.000 0.000 0.000 5.181 0.000 0.000 0.000 12.667" Properties=species:S:1:pos:R:3 pbc="T T T"
Ca 0.000 0.000 0.000
Ca 0.000 2.591 2.978
Ca 0.000 2.591 9.689
Ca 2.591 0.000 2.978
Ca 2.591 0.000 9.689
Ca 2.591 2.591 0.000
Pm 0.000 0.000 6.333
Mg 2.591 2.591 4.988
Mg 2.591 2.591 7.679
```

## Properties
DOS(E_F), states/eV/f.u.: 12.86
Space group: P4/mmm
ΔE_f, eV/atom: 0.135


[21]
Material: CaPmMg4
Method: DFT, PBE
State: optimized geometry

Cell and atoms, written as extended XYZ:
```
6
Lattice="0.000 4.352 4.352 4.352 0.000 4.352 4.352 4.352 0.000" Properties=species:S:1:pos:R:3 pbc="T T T"
Ca 0.000 0.000 0.000
Pm 2.176 2.176 2.176
Mg 5.433 3.271 3.271
Mg 3.271 5.433 3.271
Mg 3.271 3.271 5.433
Mg 5.433 5.433 5.433
```

## Properties
DOS(E_F), states/eV/f.u.: 4.45
Space group: F-43m
ΔE_f, eV/atom: -0.100


[22]
Material: Ca2PmMg
Method: DFT, PBE
State: optimized geometry

Cell and atoms, written as extended XYZ:
```
4
Lattice="4.209 0.000 0.000 0.000 4.209 0.000 0.000 0.000 7.735" Properties=species:S:1:pos:R:3 pbc="T T T"
Ca 0.000 0.000 1.805
Ca 0.000 0.000 5.930
Pm 2.105 2.105 3.867
Mg 2.105 2.105 0.000
```

## Properties
DOS(E_F), states/eV/f.u.: 3.92
Space group: P4/mmm
ΔE_f, eV/atom: 0.054


[23]
Material: CaPm3Mg
Method: DFT, PBE
State: optimized geometry

Cell and atoms, written as extended XYZ:
```
10
Lattice="6.687 -1.887 0.000 6.687 1.887 0.000 -0.902 0.000 13.207" Properties=species:S:1:pos:R:3 pbc="T T T"
Ca 2.859 0.000 3.349
Ca 9.614 0.000 9.858
Pm -0.183 0.000 9.042
Pm 1.038 0.000 12.582
Pm 4.427 0.000 6.885
Pm 8.046 0.000 6.323
Pm 11.435 0.000 0.625
Pm 12.656 0.000 4.165
Mg 5.169 0.000 11.483
Mg 7.303 0.000 1.725
```

## Properties
DOS(E_F), states/eV/f.u.: 5.56
Space group: C2/m
ΔE_f, eV/atom: 0.008


[24]
Material: CaPm7Mg4
Method: DFT, PBE
State: optimized geometry

Cell and atoms, written as extended XYZ:
```
12
Lattice="7.688 -2.938 0.000 7.688 2.938 0.000 -5.057 0.000 8.424" Properties=species:S:1:pos:R:3 pbc="T T T"
Ca 0.000 0.000 0.000
Pm -0.892 0.000 3.663
Pm -1.382 0.000 7.389
Pm 2.429 0.000 2.420
Pm 7.688 0.000 0.000
Pm 7.890 0.000 6.004
Pm 11.701 0.000 1.035
Pm 11.211 0.000 4.761
Mg 1.703 0.000 5.523
Mg 5.560 0.000 2.585
Mg 4.759 0.000 5.839
Mg 8.616 0.000 2.901
```

## Properties
DOS(E_F), states/eV/f.u.: 13.02
Space group: C2/m
ΔE_f, eV/atom: 0.155


[25]
Material: Ca3Pm2Mg2
Method: DFT, PBE
State: optimized geometry

Cell and atoms, written as extended XYZ:
```
7
Lattice="1.904 -16.636 0.000 1.904 16.636 0.000 0.000 0.000 3.788" Properties=species:S:1:pos:R:3 pbc="T T T"
Ca 0.000 0.000 0.000
Ca 1.904 2.856 1.894
Ca 1.904 -2.856 1.894
Pm 1.904 6.886 1.894
Pm 1.904 -6.886 1.894
Mg 1.904 11.736 0.000
Mg 1.904 -11.736 0.000
```

## Properties
DOS(E_F), states/eV/f.u.: 8.62
Space group: Cmmm
ΔE_f, eV/atom: 0.044


[26]
Material: CaPmPrMg
Method: DFT, PBE
State: optimized geometry

Cell and atoms, written as extended XYZ:
```
4
Lattice="3.696 0.000 0.000 0.000 3.696 0.000 0.000 0.000 9.861" Properties=species:S:1:pos:R:3 pbc="T T T"
Ca 0.000 0.000 0.000
Pm 0.000 0.000 4.457
Pr 1.848 1.848 6.968
Mg 1.848 1.848 2.274
```

## Properties
DOS(E_F), states/eV/f.u.: 5.06
Space group: P4mm
ΔE_f, eV/atom: -0.024


Number 1: calculated total energy -3.628 eV per atom. Number 2: calculated total energy -4.570 eV per atom. Number 3: calculated total energy -2.493 eV per atom. Number 4: calculated total energy -2.208 eV per atom. Number 5: calculated total energy -2.487 eV per atom. Number 6: calculated total energy -3.066 eV per atom. Number 7: calculated total energy -2.417 eV per atom. Number 8: calculated total energy -2.396 eV per atom. Number 9: calculated total energy -2.424 eV per atom. Number 10: calculated total energy -2.401 eV per atom. Number 11: calculated total energy -2.138 eV per atom. Number 12: calculated total energy -2.579 eV per atom. Number 13: calculated total energy -2.045 eV per atom. Number 14: calculated total energy -2.532 eV per atom. Number 15: calculated total energy -2.473 eV per atom. Number 16: calculated total energy -2.655 eV per atom. Number 17: calculated total energy -2.652 eV per atom. Number 18: calculated total energy -2.580 eV per atom. Number 19: calculated total energy -2.515 eV per atom. Number 20: calculated total energy -2.081 eV per atom. Number 21: calculated total energy -2.288 eV per atom. Number 22: calculated total energy -2.533 eV per atom. Number 23: calculated total energy -3.562 eV per atom. Number 24: calculated total energy -3.315 eV per atom. Number 25: calculated total energy -2.627 eV per atom. Number 26: calculated total energy -3.306 eV per atom.